Material: PrY2Cu9
Method: DFT, PBE-GGA
State: optimized geometry

Computed properties:
Calculated volume   16.45 Å³/atom
Calculated formation energy   -178 meV per atom
Magnetic moment   0.000 μB/cell

abc: 5.256 5.256 8.789
angles: 72.60 72.60 60.00
Fractional positions:
Cu1 0.418 0.916 0.248
Cu2 0.332 0.332 0.004
Cu3 0.582 0.084 0.752
Cu4 0.668 0.668 0.996
Cu5 0.582 0.582 0.752
Cu6 0.084 0.582 0.752
Cu7 0.500 0.500 0.500
Cu8 0.418 0.418 0.248
Cu9 0.916 0.418 0.248
Y1 0.856 0.856 0.432
Y2 0.144 0.144 0.568
Pr1 0.000 0.000 0.000